An optimized crystal structure of AcBe4Mo3O12. Source: Alexandria, functional GGA+U.

POSCAR file:
```
AcBe4Mo3O12
1.0
-5.9054 2.0362 1.6462
2.7479 -1.8454 5.5474
3.1871 5.3362 -1.7599
Mo O Be Ac
3 12 4 1
Cartesian
-0.8475 3.8719 -0.2485
2.9428 1.3413 2.3049
-2.0657 0.3138 3.3773
3.9896 3.0187 2.2101
0.0811 3.8480 1.6134
-3.7094 1.4119 4.1120
3.5591 1.1736 4.3148
-1.5056 0.0519 5.2578
1.2118 0.1883 5.5553
-1.3582 2.2652 3.2312
0.1947 5.7050 -0.2761
1.3215 2.1774 3.3060
2.7335 4.9376 0.7162
-3.8992 3.5028 2.2117
-2.4414 4.8817 0.3502
-3.7714 4.4619 1.0099
-0.1774 -0.3788 5.9142
3.9932 4.2074 1.2265
0.0148 2.7635 2.7169
0.0000 0.0000 0.0000
```

Values from the calculation:
Total magnetization (μB/atom): 0.25
E (eV/atom): -7.219
N(E_F) (states/eV/atom): 0.247